# KMo3, optimized geometry, DFT PBE
# * excess energy over the best structure of this formula in the dataset: 336 meV per atom
# * energy relative to the elements: 1.07 eV/atom
# * N(E_F): 2.4 states/eV/f.u.
# * DFT total energy: -29.30 eV/f.u.
data_KMo3
_chemical_formula_sum 'K2 Mo6'
_symmetry_space_group_name_H-M 'P 63/m m c'
_symmetry_Int_Tables_number 194
_symmetry_space_group_name_Hall '-P 6c 2c'
_cell_length_a 8.1126
_cell_length_b 8.1126
_cell_length_c 4.2188
_cell_angle_alpha 90.00
_cell_angle_beta 90.00
_cell_angle_gamma 120.00
loop_
_atom_site_label
_atom_site_type_symbol
_atom_site_fract_x
_atom_site_fract_y
_atom_site_fract_z
K1 K 0.3333 0.6667 0.2500
Mo1 Mo 0.1079 0.2158 0.7500


# SmDyF, optimized geometry, DFT PBE
# * raw formation energy: -1.542 eV/atom
# * N(E_F): 2.3 states/eV/f.u.
# * DFT total energy: -15.82 eV/f.u.
data_SmDyF
_chemical_formula_sum 'Sm1 Dy1 F1'
_symmetry_space_group_name_H-M 'P 3 m 1'
_symmetry_Int_Tables_number 156
_cell_length_a 3.7589
_cell_length_b 3.7589
_cell_length_c 5.6517
_cell_angle_alpha 90.00
_cell_angle_beta 90.00
_cell_angle_gamma 120.00
loop_
_symmetry_equiv_pos_as_xyz
'x,y,z'
'-y,x-y,z'
'-x+y,-x,z'
'-y,-x,z'
'-x+y,y,z'
'x,x-y,z'
loop_
_atom_site_label
_atom_site_type_symbol
_atom_site_fract_x
_atom_site_fract_y
_atom_site_fract_z
Sm1 Sm 0.0000 0.0000 0.0000
Dy1 Dy 0.6667 0.3333 0.4947
F1 F 0.3333 0.6667 0.7344


# Ho4Np3S8, optimized geometry, DFT PBE
# * raw formation energy: -1.767 eV/atom
# * N(E_F): 25.8 states/eV/f.u.
# * DFT total energy: -116.65 eV/f.u.
data_Ho4Np3S8
_chemical_formula_sum 'Ho8 Np6 S16'
_symmetry_space_group_name_H-M 'C 1 2/m 1'
_symmetry_Int_Tables_number 12
_cell_length_a 11.004
_cell_length_b 11.012
_cell_length_c 7.778
_cell_angle_alpha 90.00
_cell_angle_beta 134.84
_cell_angle_gamma 90.00
loop_
_symmetry_equiv_pos_as_xyz
'x,y,z'
'-x,-y,-z'
'-x,y,-z'
'x,-y,z'
'x+1/2,y+1/2,z'
'-x+1/2,-y+1/2,-z'
'-x+1/2,y+1/2,-z'
'x+1/2,-y+1/2,z'
loop_
_atom_site_label
_atom_site_type_symbol
_atom_site_fract_x
_atom_site_fract_y
_atom_site_fract_z
Ho1 Ho 0.000 0.000 0.000
Ho2 Ho 0.000 0.000 0.500
Ho3 Ho 0.250 0.250 0.000
Np1 Np 0.000 0.500 0.500
Np2 Np 0.250 0.250 0.500
S1 S 0.000 0.250 0.000
S2 S 0.000 0.250 0.500
S3 S 0.248 0.000 0.995
S4 S 0.249 0.000 0.498


Question: Look up the N(E_F) of the second one.
Answer: 2.3 states/eV/f.u.


Question: Which of these has the highest DFT total energy?
Answer: SmDyF


Question: Which of these has the lowest N(E_F)?
Answer: SmDyF